No. 1
VASP calculation (GGA+U) on a relaxed Na2LiCoF8 crystal.

Geometry as CIF:
```
data_Na2LiCoF8
_chemical_formula_sum 'Na2 Li1 Co1 F8'
_symmetry_space_group_name_H-M 'P -1'
_symmetry_Int_Tables_number 2
_symmetry_space_group_name_Hall '-P 1'
_cell_length_a 4.686
_cell_length_b 5.042
_cell_length_c 6.315
_cell_angle_alpha 89.96
_cell_angle_beta 89.94
_cell_angle_gamma 89.62
loop_
_atom_site_label
_atom_site_type_symbol
_atom_site_fract_x
_atom_site_fract_y
_atom_site_fract_z
Na1 Na 0.000 0.000 0.243
Li1 Li 0.500 0.500 0.500
Co1 Co 0.500 0.500 0.000
F1 F 0.276 0.376 0.214
F2 F 0.277 0.375 0.786
F3 F 0.295 0.801 0.000
F4 F 0.330 0.877 0.500
```

---

No. 2
VASP calculation (GGA+U) on a relaxed NaLiCo2F6 crystal.

Geometry as CIF:
```
data_NaLiCo2F6
_chemical_formula_sum 'Na3 Li3 Co6 F18'
_symmetry_space_group_name_H-M 'R 3'
_symmetry_Int_Tables_number 146
_symmetry_space_group_name_Hall 'R 3'
_cell_length_a 5.3726
_cell_length_b 5.3726
_cell_length_c 14.1373
_cell_angle_alpha 90.00
_cell_angle_beta 90.00
_cell_angle_gamma 120.00
loop_
_atom_site_label
_atom_site_type_symbol
_atom_site_fract_x
_atom_site_fract_y
_atom_site_fract_z
Na1 Na 0.0000 0.0000 0.0000
Li1 Li 0.0000 0.0000 0.4866
Co1 Co 0.0000 0.0000 0.2806
Co2 Co 0.0000 0.0000 0.7851
F1 F 0.0110 0.3642 0.5419
F2 F 0.0233 0.6216 0.0470
```

---

Table of total DFT energy (no corrections) (Ry per atom), in record order: -0.3034; -0.3581